1.
Computed, not measured: TbInAu after structural relaxation at the PBE level of DFT.

Computed properties:
The total energy comes out at -4.112 eV/atom. The total moment is 0.00 μB per formula unit. The value obtained for the volume is 23.5 A^3/atom. As for the symmetry: P-62m (189).

abc: 7.3609 7.3609 4.5090
angles: 90.00 90.00 120.00
Fractional coordinates of all 9 atoms:
Tb 0.5694 0.0000 0.5000
Tb 0.0000 0.5694 0.5000
Tb 0.4306 0.4306 0.5000
In 0.0000 0.0000 0.5000
In 0.6667 0.3333 0.0000
In 0.3333 0.6667 0.0000
Au 0.0000 0.2465 0.0000
Au 0.2465 0.0000 0.0000
Au 0.7535 0.7535 0.0000

---

2.
Computed, not measured: NaGaSiNi after structural relaxation at the PBE level of DFT.

Computed properties:
The total energy comes out at -3.627 eV/atom. The total moment is 0.00 μB per formula unit. The value obtained for the volume is 15.0 A^3/atom. As for the symmetry: F-43m (216). The relative energy among the computed polymorphs comes out at 98 meV per atom.

abc: 4.3984 4.3984 4.3984
angles: 60.00 60.00 60.00
Fractional coordinates of all 4 atoms:
Na 0.7500 0.7500 0.7500
Ni 0.5000 0.5000 0.5000
Si 0.2500 0.2500 0.2500
Ga 0.0000 0.0000 0.0000

---

3.
Computed, not measured: ZrInAuSe3 after structural relaxation at the PBE level of DFT.

Computed properties:
The total energy comes out at -4.876 eV/atom. The total moment is 0.01 μB per formula unit. The value obtained for the volume is 24.3 A^3/atom. As for the symmetry: Cmcm (63).

abc: 3.9079 7.4475 10.3728
angles: 90.00 90.00 74.79
Fractional coordinates of all 12 atoms:
Au 0.4519 0.0961 0.7500
Au 0.5481 0.9039 0.2500
In 0.7591 0.4819 0.7500
In 0.2409 0.5181 0.2500
Se 0.6341 0.7319 0.4674
Se 0.3659 0.2681 0.5326
Se 0.9224 0.1553 0.2500
Se 0.3659 0.2681 0.9674
Se 0.0776 0.8447 0.7500
Se 0.6341 0.7319 0.0326
Zr 0.0000 0.0000 0.5000
Zr 0.0000 0.0000 0.0000

---

4.
Computed, not measured: KLuAg after structural relaxation at the PBE level of DFT.

Computed properties:
The total energy comes out at -2.373 eV/atom. The total moment is 0.00 μB per formula unit. The value obtained for the volume is 34.0 A^3/atom. As for the symmetry: F-43m (216). The relative energy among the computed polymorphs comes out at 0 meV per atom.

abc: 5.2468 5.2468 5.2468
angles: 60.00 60.00 60.00
Fractional coordinates of all 3 atoms:
K 0.2500 0.2500 0.2500
Lu 0.7500 0.7500 0.7500
Ag 0.0000 0.0000 0.0000

---

5.
Computed, not measured: Sm11Sn10 after structural relaxation at the PBE level of DFT.

Computed properties:
The total energy comes out at -5.139 eV/atom. The total moment is 0.50 μB per formula unit. The value obtained for the volume is 29.1 A^3/atom. As for the symmetry: I4/mmm (139).

abc: 12.0872 12.0872 12.0872
angles: 121.35 121.35 87.67
Fractional coordinates of all 42 atoms:
Sm 0.1892 0.9384 0.7491
Sm 0.8108 0.0616 0.2509
Sm 0.6653 0.6653 0.0000
Sm 0.3978 0.7278 0.3301
Sm 0.6022 0.9323 0.3301
Sm 0.1892 0.4401 0.2509
Sm 0.3978 0.0677 0.6699
Sm 0.8108 0.5599 0.7491
Sm 0.4401 0.1892 0.2509
Sm 0.3347 0.3347 0.0000
Sm 0.7278 0.3978 0.3301
Sm 0.8254 0.1746 0.0000
Sm 0.1746 0.8254 0.0000
Sm 0.6022 0.2722 0.6699
Sm 0.1746 0.1746 0.3491
Sm 0.8254 0.8254 0.6509
Sm 0.9384 0.1892 0.7491
Sm 0.9323 0.6022 0.3301
Sm 0.5599 0.8108 0.7491
Sm 0.0616 0.8108 0.2509
Sm 0.0677 0.3978 0.6699
Sm 0.2722 0.6022 0.6699
Sn 0.3570 0.0000 0.3570
Sn 0.2500 0.7500 0.5000
Sn 0.3720 0.3720 0.7440
Sn 0.0000 0.3570 0.3570
Sn 0.6280 0.6280 0.2560
Sn 0.6280 0.3720 0.0000
Sn 0.7500 0.2500 0.5000
Sn 0.1167 0.5302 0.0000
Sn 0.8833 0.4698 0.0000
Sn 0.5302 0.1167 0.0000
Sn 0.5302 0.5302 0.4135
Sn 0.3720 0.6280 0.0000
Sn 0.0000 0.6430 0.6430
Sn 0.6430 0.0000 0.6430
Sn 0.8833 0.8833 0.4135
Sn 0.4698 0.4698 0.5865
Sn 0.1167 0.1167 0.5865
Sn 0.4698 0.8833 0.0000
Sn 0.1094 0.1094 0.0000
Sn 0.8906 0.8906 0.0000

---

6.
Computed, not measured: CdSnAu after structural relaxation at the PBE level of DFT.

Computed properties:
The total energy comes out at -2.643 eV/atom. The value obtained for the volume is 22.9 A^3/atom. As for the symmetry: P-62m (189).

abc: 8.1019 8.1019 3.6219
angles: 90.00 90.00 120.00
Fractional coordinates of all 9 atoms:
Au 0.0000 0.6175 0.0000
Au 0.6175 0.0000 0.0000
Au 0.3825 0.3825 0.0000
Sn 0.0000 0.0000 0.0000
Sn 0.3333 0.6667 0.5000
Sn 0.6667 0.3333 0.5000
Cd 0.2910 0.0000 0.5000
Cd 0.0000 0.2910 0.5000
Cd 0.7090 0.7090 0.5000

---

Please write out number 6 again, unchanged.
Computed, not measured: CdSnAu after structural relaxation at the PBE level of DFT.

Computed properties:
The total energy comes out at -2.643 eV/atom. The value obtained for the volume is 22.9 A^3/atom. As for the symmetry: P-62m (189).

abc: 8.1019 8.1019 3.6219
angles: 90.00 90.00 120.00
Fractional coordinates of all 9 atoms:
Au 0.0000 0.6175 0.0000
Au 0.6175 0.0000 0.0000
Au 0.3825 0.3825 0.0000
Sn 0.0000 0.0000 0.0000
Sn 0.3333 0.6667 0.5000
Sn 0.6667 0.3333 0.5000
Cd 0.2910 0.0000 0.5000
Cd 0.0000 0.2910 0.5000
Cd 0.7090 0.7090 0.5000

---

Please write out number 5 again, unchanged.
Computed, not measured: Sm11Sn10 after structural relaxation at the PBE level of DFT.

Computed properties:
The total energy comes out at -5.139 eV/atom. The total moment is 0.50 μB per formula unit. The value obtained for the volume is 29.1 A^3/atom. As for the symmetry: I4/mmm (139).

abc: 12.0872 12.0872 12.0872
angles: 121.35 121.35 87.67
Fractional coordinates of all 42 atoms:
Sm 0.1892 0.9384 0.7491
Sm 0.8108 0.0616 0.2509
Sm 0.6653 0.6653 0.0000
Sm 0.3978 0.7278 0.3301
Sm 0.6022 0.9323 0.3301
Sm 0.1892 0.4401 0.2509
Sm 0.3978 0.0677 0.6699
Sm 0.8108 0.5599 0.7491
Sm 0.4401 0.1892 0.2509
Sm 0.3347 0.3347 0.0000
Sm 0.7278 0.3978 0.3301
Sm 0.8254 0.1746 0.0000
Sm 0.1746 0.8254 0.0000
Sm 0.6022 0.2722 0.6699
Sm 0.1746 0.1746 0.3491
Sm 0.8254 0.8254 0.6509
Sm 0.9384 0.1892 0.7491
Sm 0.9323 0.6022 0.3301
Sm 0.5599 0.8108 0.7491
Sm 0.0616 0.8108 0.2509
Sm 0.0677 0.3978 0.6699
Sm 0.2722 0.6022 0.6699
Sn 0.3570 0.0000 0.3570
Sn 0.2500 0.7500 0.5000
Sn 0.3720 0.3720 0.7440
Sn 0.0000 0.3570 0.3570
Sn 0.6280 0.6280 0.2560
Sn 0.6280 0.3720 0.0000
Sn 0.7500 0.2500 0.5000
Sn 0.1167 0.5302 0.0000
Sn 0.8833 0.4698 0.0000
Sn 0.5302 0.1167 0.0000
Sn 0.5302 0.5302 0.4135
Sn 0.3720 0.6280 0.0000
Sn 0.0000 0.6430 0.6430
Sn 0.6430 0.0000 0.6430
Sn 0.8833 0.8833 0.4135
Sn 0.4698 0.4698 0.5865
Sn 0.1167 0.1167 0.5865
Sn 0.4698 0.8833 0.0000
Sn 0.1094 0.1094 0.0000
Sn 0.8906 0.8906 0.0000